KBeI2O (PBE, relaxed); space-group type = P4/mmm (123); energy above the most stable polymorph in this dataset = 0 meV per atom; uncorrected formation energy = -109 kJ per mole of atoms
1.0
6.638 0.000 0.000
0.000 6.638 0.000
0.000 0.000 3.067
Be K I O
1 1 2 1
Direct
0.000 0.000 0.000 Be
0.500 0.500 0.500 K
0.000 0.500 0.000 I
0.500 0.000 0.000 I
0.000 0.000 0.500 O

=====

KBeI2O (PBE, relaxed); space-group type = P4/mmm (123); energy above the most stable polymorph in this dataset = 1875 meV per atom; uncorrected formation energy = 72 kJ per mole of atoms
1.0
6.439 0.000 0.000
0.000 6.439 0.000
0.000 0.000 4.774
Be O I K
1 1 2 1
Direct
0.500 0.500 0.500 Be
0.000 0.000 0.500 O
0.500 0.000 0.000 I
0.000 0.500 0.000 I
0.000 0.000 0.000 K

=====

KBeP2I (PBE, relaxed); space-group type = P4/mmm (123); uncorrected formation energy = 173 kJ per mole of atoms
1.0
-1.864 -5.638 -1.966
3.866 -2.732 4.169
-4.578 0.027 4.263
Be K P I
1 1 2 1
Direct
0.000 0.500 0.000 Be
0.000 0.000 0.000 K
0.000 0.000 0.500 P
0.500 0.000 0.000 P
0.500 0.500 0.500 I

=====

KBe2PtI (PBE, relaxed); space-group type = P4/mmm (123); uncorrected formation energy = 191 kJ per mole of atoms
1.0
5.498 0.000 0.000
0.000 5.507 0.000
0.000 0.000 5.498
I Be Pt K
1 2 1 1
Direct
0.500 0.500 0.500 I
0.500 0.000 0.000 Be
0.000 0.000 0.500 Be
0.000 0.500 0.000 Pt
0.000 0.000 0.000 K

=====

KRb2BeI6 (PBE, relaxed); space-group type = Fm-3m (225); uncorrected formation energy = -82 kJ per mole of atoms
1.0
-5.520 5.474 3.544
-3.925 0.919 -7.533
-8.405 -1.397 -0.636
Be Rb K I
1 2 1 6
Direct
0.500 0.500 0.000 Be
0.250 0.750 0.500 Rb
0.750 0.250 0.500 Rb
0.000 0.000 0.000 K
0.278 0.278 0.444 I
0.278 0.722 0.000 I
0.722 0.278 0.000 I
0.278 0.278 0.000 I
0.722 0.722 0.000 I
0.722 0.722 0.556 I

=====

KRbBeI4 (PBE, relaxed); space-group type = P2_1/m (11); uncorrected formation energy = -107 kJ per mole of atoms
1.0
-3.445 -4.800 5.045
-0.796 -5.517 -5.792
10.053 -1.683 0.222
I Be K Rb
8 2 2 2
Direct
0.004 0.508 0.242 I
0.996 0.008 0.758 I
0.374 0.750 0.542 I
0.996 0.492 0.758 I
0.401 0.750 0.152 I
0.599 0.250 0.848 I
0.004 0.992 0.242 I
0.626 0.250 0.458 I
0.203 0.750 0.296 Be
0.797 0.250 0.704 Be
0.786 0.750 0.454 K
0.214 0.250 0.546 K
0.289 0.250 0.079 Rb
0.711 0.750 0.921 Rb

=====

KBeReI2 (PBE, relaxed); space-group type = P4/mmm (123); uncorrected formation energy = 41 kJ per mole of atoms
1.0
-3.407 2.429 3.744
-0.824 -4.015 1.855
4.343 0.719 3.485
Re Be K I
1 1 1 2
Direct
0.000 0.000 0.000 Re
0.000 0.500 0.000 Be
0.500 0.500 0.500 K
0.500 0.000 0.000 I
0.000 0.000 0.500 I

=====

KBeSbI2 (PBE, relaxed); space-group type = P4/mmm (123); energy above the most stable polymorph in this dataset = 0 meV per atom; uncorrected formation energy = -21 kJ per mole of atoms
1.0
5.955 0.000 0.000
0.000 5.955 0.000
0.000 0.000 4.692
I Sb K Be
2 1 1 1
Direct
0.500 0.000 0.000 I
0.000 0.500 0.000 I
0.000 0.000 0.500 Sb
0.500 0.500 0.500 K
0.000 0.000 0.000 Be

=====

KBeSbI2 (PBE, relaxed); space-group type = P4/mmm (123); energy above the most stable polymorph in this dataset = 1093 meV per atom; uncorrected formation energy = 85 kJ per mole of atoms
1.0
6.515 0.000 0.000
0.000 6.515 0.000
0.000 0.000 7.149
I Sb Be K
2 1 1 1
Direct
0.500 0.000 0.000 I
0.000 0.500 0.000 I
0.000 0.000 0.500 Sb
0.500 0.500 0.500 Be
0.000 0.000 0.000 K

=====

KBe2SbI (PBE, relaxed); space-group type = P4/mmm (123); uncorrected formation energy = 25 kJ per mole of atoms
1.0
4.719 0.000 0.000
0.000 7.628 0.000
0.000 0.000 4.719
Be I K Sb
2 1 1 1
Direct
0.000 0.000 0.500 Be
0.500 0.000 0.000 Be
0.500 0.500 0.500 I
0.000 0.500 0.000 K
0.000 0.000 0.000 Sb

=====

KBeTe2I (PBE, relaxed); space-group type = P4/mmm (123); energy above the most stable polymorph in this dataset = 1314 meV per atom; uncorrected formation energy = 100 kJ per mole of atoms
1.0
6.684 0.000 0.000
0.000 6.684 0.000
0.000 0.000 6.494
K Te I Be
1 2 1 1
Direct
0.000 0.000 0.000 K
0.500 0.000 0.000 Te
0.000 0.500 0.000 Te
0.000 0.000 0.500 I
0.500 0.500 0.500 Be

=====

KBeTe2I (PBE, relaxed); space-group type = P4/mmm (123); energy above the most stable polymorph in this dataset = 0 meV per atom; uncorrected formation energy = -27 kJ per mole of atoms
1.0
4.886 0.000 0.000
0.000 4.886 0.000
0.000 0.000 7.565
K Te I Be
1 2 1 1
Direct
0.500 0.500 0.500 K
0.000 0.500 0.000 Te
0.500 0.000 0.000 Te
0.000 0.000 0.500 I
0.000 0.000 0.000 Be

=====

LaBe2I (PBE, relaxed); space-group type = I-42d (122); energy above the most stable polymorph in this dataset = 0 meV per atom; uncorrected formation energy = 53 kJ per mole of atoms
1.0
-4.837 5.920 -1.449
-6.006 -4.944 -0.156
-5.839 0.899 2.274
Be I La
4 2 2
Direct
0.594 0.125 0.250 Be
0.375 0.406 0.750 Be
0.875 0.844 0.750 Be
0.156 0.625 0.250 Be
0.500 0.500 0.000 I
0.250 0.750 0.500 I
0.750 0.250 0.500 La
0.000 0.000 0.000 La

=====

LaBe2I (PBE, relaxed); space-group type = Fm-3m (225); energy above the most stable polymorph in this dataset = 122 meV per atom; uncorrected formation energy = 65 kJ per mole of atoms
1.0
0.000 3.544 3.544
3.544 0.000 3.544
3.544 3.544 0.000
I Be La
1 2 1
Direct
0.000 0.000 0.000 I
0.250 0.250 0.250 Be
0.750 0.750 0.750 Be
0.500 0.500 0.500 La

=====

LaBeI (PBE, relaxed); space-group type = Cmcm (63); uncorrected formation energy = -57 kJ per mole of atoms
1.0
4.177 0.000 0.000
0.000 4.413 0.000
0.000 2.207 9.199
Be La I
2 2 2
Direct
0.250 0.521 0.957 Be
0.750 0.479 0.043 Be
0.250 0.915 0.171 La
0.750 0.085 0.829 La
0.250 0.664 0.671 I
0.750 0.336 0.329 I

=====

La2MgBeI (PBE, relaxed); space-group type = P4/mmm (123); uncorrected formation energy = 61 kJ per mole of atoms
1.0
-1.475 0.949 5.686
1.329 -4.962 1.173
5.566 1.763 1.149
I La Be Mg
1 2 1 1
Direct
0.000 0.000 0.000 I
0.500 0.000 0.000 La
0.000 0.000 0.500 La
0.500 0.500 0.500 Be
0.000 0.500 0.000 Mg

=====

LaBeNb2I (PBE, relaxed); space-group type = P4/mmm (123); uncorrected formation energy = 185 kJ per mole of atoms
1.0
5.132 0.000 0.000
0.000 4.936 0.000
0.000 0.000 5.132
I Nb La Be
1 2 1 1
Direct
0.500 0.500 0.500 I
0.000 0.000 0.500 Nb
0.500 0.000 0.000 Nb
0.000 0.000 0.000 La
0.000 0.500 0.000 Be

=====

La2BeOsI (PBE, relaxed); space-group type = P4/mmm (123); uncorrected formation energy = -33 kJ per mole of atoms
1.0
5.564 0.000 0.000
0.000 5.564 0.000
0.000 0.000 4.446
Be Os I La
1 1 1 2
Direct
0.000 0.000 0.500 Be
0.000 0.000 0.000 Os
0.500 0.500 0.500 I
0.500 0.000 0.000 La
0.000 0.500 0.000 La

=====

LaBeRe2I (PBE, relaxed); space-group type = P4/mmm (123); uncorrected formation energy = 253 kJ per mole of atoms
1.0
-0.023 -2.304 4.491
-4.748 -3.584 -1.862
3.270 -3.428 -1.742
I Re La Be
1 2 1 1
Direct
0.000 0.500 0.000 I
0.000 0.000 0.500 Re
0.500 0.000 0.000 Re
0.000 0.000 0.000 La
0.500 0.500 0.500 Be

=====

LaBe2SiI (PBE, relaxed); space-group type = P4/mmm (123); uncorrected formation energy = 97 kJ per mole of atoms
1.0
-2.292 -2.298 3.424
-3.923 -1.433 -3.588
2.388 -3.933 -1.040
Be Si I La
2 1 1 1
Direct
0.500 0.000 0.000 Be
0.000 0.000 0.500 Be
0.000 0.500 0.000 Si
0.000 0.000 0.000 I
0.500 0.500 0.500 La

=====

LaBeTe2I (PBE, relaxed); space-group type = P4/mmm (123); energy above the most stable polymorph in this dataset = 0 meV per atom; uncorrected formation energy = -51 kJ per mole of atoms
1.0
-1.515 -3.865 -3.182
3.867 1.208 -3.308
3.146 -3.276 2.482
Te La Be I
2 1 1 1
Direct
0.500 0.000 0.000 Te
0.000 0.500 0.000 Te
0.500 0.500 0.500 La
0.000 0.000 0.000 Be
0.000 0.000 0.500 I

=====

LaBeTe2I (PBE, relaxed); space-group type = P4/mmm (123); energy above the most stable polymorph in this dataset = 716 meV per atom; uncorrected formation energy = 18 kJ per mole of atoms
1.0
6.232 0.000 0.000
0.000 6.232 0.000
0.000 0.000 6.231
Te La Be I
2 1 1 1
Direct
0.500 0.000 0.000 Te
0.000 0.500 0.000 Te
0.000 0.000 0.000 La
0.500 0.500 0.500 Be
0.000 0.000 0.500 I

=====

LiBeI3 (PBE, relaxed); space-group type = Pm-3m (221); energy above the most stable polymorph in this dataset = 1136 meV per atom; uncorrected formation energy = 36 kJ per mole of atoms
1.0
-4.791 0.574 2.682
2.673 -0.226 4.824
0.611 5.486 -0.081
I Li Be
3 1 1
Direct
0.500 0.000 0.000 I
0.000 0.500 0.000 I
0.000 0.000 0.500 I
0.000 0.000 0.000 Li
0.500 0.500 0.500 Be

=====

LiBe2I (PBE, relaxed); space-group type = I-42d (122); energy above the most stable polymorph in this dataset = 0 meV per atom; uncorrected formation energy = 55 kJ per mole of atoms
1.0
7.976 0.000 0.000
0.000 7.976 0.000
3.988 3.988 2.446
I Li Be
2 2 4
Direct
0.000 0.000 0.000 I
0.750 0.250 0.500 I
0.250 0.750 0.500 Li
0.500 0.500 0.000 Li
0.650 0.125 0.250 Be
0.100 0.625 0.250 Be
0.375 0.350 0.750 Be
0.875 0.900 0.750 Be

=====

Li3BeI (PBE, relaxed); space-group type = Pm-3m (221); energy above the most stable polymorph in this dataset = 104 meV per atom; uncorrected formation energy = 30 kJ per mole of atoms
1.0
-2.263 0.130 -4.636
-4.164 -2.329 1.967
-2.042 4.604 1.126
Li I Be
3 1 1
Direct
0.000 0.500 0.000 Li
0.000 0.000 0.500 Li
0.500 0.000 0.000 Li
0.000 0.000 0.000 I
0.500 0.500 0.500 Be

=====

LiBeI2 (PBE, relaxed); space-group type = Fm-3m (225); energy above the most stable polymorph in this dataset = 323 meV per atom; uncorrected formation energy = 15 kJ per mole of atoms
1.0
-0.386 -0.606 5.236
-4.564 -1.576 2.148
-0.410 -4.843 2.076
Be Li I
1 1 2
Direct
0.500 0.500 0.500 Be
0.000 0.000 0.000 Li
0.250 0.250 0.250 I
0.750 0.750 0.750 I

=====

LiBeI3 (PBE, relaxed); space-group type = P2_1/m (11); energy above the most stable polymorph in this dataset = 0 meV per atom; uncorrected formation energy = -74 kJ per mole of atoms
1.0
-1.676 -3.326 -1.614
1.569 -4.024 6.661
-10.300 3.662 3.153
I Li Be
6 2 2
Direct
0.750 0.405 0.633 I
0.250 0.085 0.331 I
0.250 0.595 0.367 I
0.750 0.763 0.100 I
0.250 0.237 0.900 I
0.750 0.915 0.669 I
0.750 0.328 0.373 Li
0.250 0.672 0.627 Li
0.750 0.193 0.774 Be
0.250 0.807 0.226 Be

=====

LiBeI3 (PBE, relaxed); space-group type = Pm-3m (221); energy above the most stable polymorph in this dataset = 472 meV per atom; uncorrected formation energy = -28 kJ per mole of atoms
1.0
5.425 0.000 0.000
0.000 5.425 0.000
0.000 0.000 5.425
Be I Li
1 3 1
Direct
0.000 0.000 0.000 Be
0.000 0.500 0.000 I
0.000 0.000 0.500 I
0.500 0.000 0.000 I
0.500 0.500 0.500 Li